First-principles (PBE) data for a relaxed structure of ZrZnPb3, as listed in Alexandria.

Structure (POSCAR):
```
ZrZnPb3
1.0
5.2869 0.0000 0.0000
0.0000 5.2869 0.0000
0.0000 0.0000 5.2869
Zr Zn Pb
1 1 3
Direct
0.0000 0.0000 0.0000 Zr
0.5000 0.5000 0.5000 Zn
0.0000 0.5000 0.5000 Pb
0.5000 0.0000 0.5000 Pb
0.5000 0.5000 0.0000 Pb
```

Computed properties:
M_tot (μB per formula unit): 0.0
Formation energy from the elements (eV per atom): 0.654
Energy relative to the lowest polymorph listed for this composition (eV per formula unit): 1.02